La6TbNdDy2 | GGA-PBE | optimized geometry

Computed properties:
- Mass density: 6.78 g cm⁻³
- Space group: C2/m, No. 12
- Magnetization: 0.0 μB/f.u.
- Calculated volume: 358.2 Å³/cell
- DOS(E_F): 19.210 states/eV/f.u.
- Total DFT energy (no corrections): -4.626 eV per atom

Cell: 9.030 7.152 6.732 Å, 122.08 101.42 90.00°
Atoms (fractional coordinates):
1 La 0.432 0.637 0.273
2 La 0.195 0.040 0.636
3 La 0.805 0.404 0.364
4 La 0.195 0.596 0.636
5 La 0.805 0.960 0.364
6 La 0.568 0.363 0.727
7 Tb 0.000 0.500 0.000
8 Nd 0.500 0.000 0.000
9 Dy 0.161 0.088 0.177
10 Dy 0.839 0.912 0.823

=====

LaTb2Nd3Dy6 | GGA-PBE | optimized geometry

Computed properties:
- Mass density: 7.85 g cm⁻³
- Space group: C2/m, No. 12
- Magnetization: 0.0 μB/f.u.
- Calculated volume: 394.6 Å³/cell
- DOS(E_F): 14.977 states/eV/f.u.
- Total DFT energy (no corrections): -4.659 eV per atom

Cell: 6.241 6.241 11.880 Å, 95.01 95.01 119.99°
Atoms (fractional coordinates):
1 La 0.000 0.000 0.000
2 Tb 0.333 0.667 0.000
3 Tb 0.667 0.333 0.000
4 Nd 0.167 0.833 0.500
5 Nd 0.833 0.167 0.500
6 Nd 0.500 0.500 0.500
7 Dy 0.916 0.582 0.751
8 Dy 0.749 0.749 0.249
9 Dy 0.084 0.418 0.249
10 Dy 0.582 0.916 0.751
11 Dy 0.251 0.251 0.751
12 Dy 0.418 0.084 0.249

=====

LaTb5Nd2Dy | GGA-PBE | optimized geometry

Computed properties:
- Mass density: 7.60 g cm⁻³
- Space group: I4/mcm, No. 140
- Magnetization: 0.0 μB/f.u.
- Calculated volume: 605.3 Å³/cell
- DOS(E_F): 10.389 states/eV/f.u.
- Total DFT energy (no corrections): -4.432 eV per atom

Cell: 8.790 8.790 10.000 Å, 116.07 116.07 90.00°
Atoms (fractional coordinates):
1 La 0.250 0.250 0.500
2 La 0.750 0.750 0.500
3 Tb 0.928 0.428 0.274
4 Tb 0.654 0.154 0.726
5 Tb 0.072 0.572 0.726
6 Tb 0.154 0.072 0.726
7 Tb 0.572 0.654 0.726
8 Tb 0.846 0.928 0.274
9 Tb 0.428 0.346 0.274
10 Tb 0.346 0.846 0.274
11 Tb 0.500 0.500 0.000
12 Tb 0.000 0.000 0.000
13 Nd 0.117 0.383 0.000
14 Nd 0.617 0.117 0.000
15 Nd 0.383 0.883 0.000
16 Nd 0.883 0.617 0.000
17 Dy 0.250 0.750 0.500
18 Dy 0.750 0.250 0.500

=====

La3TbNd2Dy6 | GGA-PBE | optimized geometry

Computed properties:
- Mass density: 7.63 g cm⁻³
- Space group: C2/m, No. 12
- Magnetization: 0.0 μB/f.u.
- Calculated volume: 400.3 Å³/cell
- DOS(E_F): 14.956 states/eV/f.u.
- Total DFT energy (no corrections): -4.699 eV per atom

Cell: 6.285 6.285 11.891 Å, 95.04 95.04 120.01°
Atoms (fractional coordinates):
1 La 0.167 0.833 0.500
2 La 0.833 0.167 0.500
3 La 0.500 0.500 0.500
4 Tb 0.000 0.000 0.000
5 Nd 0.333 0.667 0.000
6 Nd 0.667 0.333 0.000
7 Dy 0.918 0.585 0.753
8 Dy 0.750 0.750 0.247
9 Dy 0.082 0.415 0.247
10 Dy 0.585 0.918 0.753
11 Dy 0.250 0.250 0.753
12 Dy 0.415 0.082 0.247